1.
Density functional theory data (PBE) for a relaxed ThAlCd2 crystal.

a b c (Å): 4.508 4.508 4.841
angles (deg): 90.00 90.00 90.00
Space group P4/mmm (No. 123)
Inequivalent atoms, fractional coordinates:
Th 0.000 0.000 0.000 x1
Al 0.500 0.500 0.000 x1
Cd 0.000 0.500 0.500 x2

Output
For the energy of formation, the calculation gives -57 kJ/mol of formula units. The density comes out at 8.166 Mg/m³. The total energy comes out at -13.6 eV/cell.



2.
Density functional theory data (PBE) for a relaxed Th3Al3Cd crystal.

a b c (Å): 11.422 4.576 14.685
angles (deg): 90.00 109.69 90.00
Space group C2/m (No. 12)
Inequivalent atoms, fractional coordinates:
Th 0.023 0.000 0.376 x4
Th 0.108 0.000 0.922 x4
Th 0.240 0.000 0.219 x4
Al 0.029 0.500 0.226 x4
Al 0.105 0.500 0.073 x4
Al 0.123 0.500 0.547 x4
Cd 0.239 0.500 0.396 x4

Output
For the energy of formation, the calculation gives -200 kJ/mol of formula units. The density comes out at 8.176 Mg/m³. The total energy comes out at -145.9 eV/cell.



> Number 2 is which compound?

Th3Al3Cd